A geometry-optimized Hg2Rh2Se structure, computed with PBE.

Summary:
- Calculated density: 12.10 g/cm3
- Uncorrected formation energy: 0.425 eV/f.u.
- Final energy: -36.73 eV per cell

Unit cell a=6.596 b=6.596 c=4.329 alpha=90.00 beta=90.00 gamma=90.00
Space group P4/mbm (No. 127)
Symmetry-distinct sites (fractional):
Hg1 0.156 0.344 0.000 (multiplicity 4)
Rh1 0.154 0.654 0.500 (multiplicity 4)
Se1 0.000 0.000 0.500 (multiplicity 2)